# YNb2Cu GGA-PBE relaxed
data_YNb2Cu
_chemical_formula_sum 'Y1 Nb2 Cu1'
_space_group_name_H-M_alt 'P 1'
_space_group_IT_number 1
_space_group_name_Hall 'P 1'
_cell_length_a 4.731
_cell_length_b 4.731
_cell_length_c 4.731
_cell_angle_alpha 60.00
_cell_angle_beta 60.00
_cell_angle_gamma 60.00
loop_
_atom_site_label
_atom_site_type_symbol
_atom_site_fract_x
_atom_site_fract_y
_atom_site_fract_z
Y1 Y 0.000 0.000 0.000
Nb1 Nb 0.250 0.250 0.250
Nb2 Nb 0.750 0.750 0.750
Cu1 Cu 0.500 0.500 0.500
# Offset from the most stable computed form, meV per atom: 87
# DFT formation energy, eV/f.u.: 2.26

=====

# CsY2TePt GGA-PBE relaxed
data_CsY2TePt
_chemical_formula_sum 'Cs1 Y2 Te1 Pt1'
_space_group_name_H-M_alt 'P 1'
_space_group_IT_number 1
_space_group_name_Hall 'P 1'
_cell_length_a 5.648
_cell_length_b 5.648
_cell_length_c 6.683
_cell_angle_alpha 90.00
_cell_angle_beta 90.00
_cell_angle_gamma 90.00
loop_
_atom_site_label
_atom_site_type_symbol
_atom_site_fract_x
_atom_site_fract_y
_atom_site_fract_z
Cs1 Cs 0.000 0.000 0.000
Y1 Y 0.000 0.500 0.500
Y2 Y 0.500 0.000 0.500
Te1 Te 0.000 0.000 0.500
Pt1 Pt 0.500 0.500 0.000
# Formation energy without anion corrections, kJ per mole of atoms: 37.4

=====

# CaMg3 GGA-PBE relaxed
data_CaMg3
_chemical_formula_sum 'Ca2 Mg6'
_space_group_name_H-M_alt 'P 1'
_space_group_IT_number 1
_space_group_name_Hall 'P 1'
_cell_length_a 6.055
_cell_length_b 6.055
_cell_length_c 6.055
_cell_angle_alpha 90.00
_cell_angle_beta 90.00
_cell_angle_gamma 90.00
loop_
_atom_site_label
_atom_site_type_symbol
_atom_site_fract_x
_atom_site_fract_y
_atom_site_fract_z
Ca1 Ca 0.000 0.000 0.000
Ca2 Ca 0.500 0.500 0.500
Mg1 Mg 0.000 0.250 0.500
Mg2 Mg 0.000 0.750 0.500
Mg3 Mg 0.250 0.500 0.000
Mg4 Mg 0.500 0.000 0.250
Mg5 Mg 0.500 0.000 0.750
Mg6 Mg 0.750 0.500 0.000
# DFT formation energy, eV/f.u.: 0.22

=====

# ScSbOs2Pt GGA-PBE relaxed
data_ScSbOs2Pt
_chemical_formula_sum 'Sc1 Sb1 Os2 Pt1'
_space_group_name_H-M_alt 'P 1'
_space_group_IT_number 1
_space_group_name_Hall 'P 1'
_cell_length_a 4.832
_cell_length_b 4.832
_cell_length_c 4.824
_cell_angle_alpha 90.00
_cell_angle_beta 90.00
_cell_angle_gamma 90.00
loop_
_atom_site_label
_atom_site_type_symbol
_atom_site_fract_x
_atom_site_fract_y
_atom_site_fract_z
Sc1 Sc 0.000 0.000 0.000
Sb1 Sb 0.500 0.500 0.500
Os1 Os 0.000 0.500 0.500
Os2 Os 0.500 0.000 0.500
Pt1 Pt 0.500 0.500 0.000
# Formation energy without anion corrections, kJ per mole of atoms: 124.0

=====

| no. | DFT total energy (Ry/atom) |
| --- | --- |
| 1 | -0.523 |
| 2 | -0.309 |
| 3 | -0.121 |
| 4 | -0.478 |